(1)
This record from Alexandria describes a relaxed structure of RbSn3Ir. The functional is GGA-PBEsol.

Output
- Symmetry: No. 221
- M_tot: 0.5 μB/cell
- Calculated formation energy: 2.38 eV per atom

abc: 5.534 5.534 5.534
angles: 90.00 90.00 90.00
Fractional positions:
Rb 0.000 0.000 0.000
Sn 0.000 0.000 0.500
Sn 0.500 0.000 0.000
Sn 0.000 0.500 0.000
Ir 0.500 0.500 0.500

(2)
This record from Alexandria describes a relaxed structure of FeAs2WSe. The functional is GGA-PBEsol.

Output
- Formation energy without anion corrections: 1033 meV per atom
- Symmetry: No. 123
- M_tot: 3.6 μB/cell

abc: 4.837 4.839 4.839
angles: 90.00 90.00 90.00
Fractional positions:
As 0.000 0.000 0.500
As 0.000 0.500 0.000
W 0.000 0.000 0.000
Fe 0.500 0.500 0.500
Se 0.500 0.000 0.000

(3)
This record from Alexandria describes a relaxed structure of RbCrCo2Se. The functional is GGA-PBEsol.

Output
- Formation energy without anion corrections: 1179 meV per atom
- Symmetry: No. 123
- M_tot: 8.6 μB/cell

abc: 4.441 4.441 6.050
angles: 90.00 90.00 90.00
Fractional positions:
Co 0.000 0.500 0.000
Co 0.500 0.000 0.000
Rb 0.000 0.000 0.500
Se 0.000 0.000 0.000
Cr 0.500 0.500 0.500

(4)
This record from Alexandria describes a relaxed structure of MgTiCo2. The functional is GGA-PBEsol.

Output
- Symmetry: No. 122
- M_tot: 0.0 μB/cell
- Calculated formation energy: 0.29 eV per atom

abc: 5.280 5.280 5.280
angles: 104.93 104.93 118.98
Fractional positions:
Co 0.625 0.096 0.971
Co 0.904 0.875 0.529
Co 0.125 0.654 0.029
Co 0.346 0.375 0.471
Ti 0.000 0.000 0.000
Ti 0.250 0.750 0.500
Mg 0.500 0.500 0.000
Mg 0.750 0.250 0.500

(5)
This record from Alexandria describes a relaxed structure of CaBeCo. The functional is GGA-PBEsol.

Output
- Relative energy among the computed polymorphs: 0.533 eV/atom
- Symmetry: No. 216
- M_tot: 0.0 μB/cell
- Calculated formation energy: 0.71 eV per atom

abc: 4.164 4.164 4.164
angles: 60.00 60.00 60.00
Fractional positions:
Be 0.000 0.000 0.000
Co 0.750 0.750 0.750
Ca 0.500 0.500 0.500

(6)
This record from Alexandria describes a relaxed structure of CoTeSeBr2. The functional is GGA-PBEsol.

Output
- Formation energy without anion corrections: 887 meV per atom
- Symmetry: No. 123
- M_tot: 2.4 μB/cell

abc: 5.448 5.448 5.397
angles: 90.00 90.00 90.00
Fractional positions:
Br 0.000 0.500 0.000
Br 0.500 0.000 0.000
Co 0.500 0.500 0.500
Te 0.000 0.000 0.000
Se 0.000 0.000 0.500

(7)
This record from Alexandria describes a relaxed structure of CsAu3Se. The functional is GGA-PBEsol.

Output
- Formation energy without anion corrections: 1681 meV per atom
- Symmetry: No. 221
- M_tot: 0.0 μB/cell

abc: 5.533 5.533 5.533
angles: 90.00 90.00 90.00
Fractional positions:
Se 0.500 0.500 0.500
Cs 0.000 0.000 0.000
Au 0.000 0.500 0.000
Au 0.000 0.000 0.500
Au 0.500 0.000 0.000

(8)
This record from Alexandria describes a relaxed structure of TcGeTe3. The functional is GGA-PBEsol.

Output
- Formation energy without anion corrections: 1240 meV per atom
- Symmetry: No. 221
- M_tot: 4.3 μB/cell

abc: 5.267 5.267 5.267
angles: 90.00 90.00 90.00
Fractional positions:
Ge 0.000 0.000 0.000
Te 0.500 0.000 0.000
Te 0.000 0.000 0.500
Te 0.000 0.500 0.000
Tc 0.500 0.500 0.500

(9)
This record from Alexandria describes a relaxed structure of Ba3MgOs. The functional is GGA-PBEsol.

Output
- Symmetry: No. 221
- M_tot: 1.8 μB/cell
- Calculated formation energy: 1.56 eV per atom

abc: 6.219 6.219 6.219
angles: 90.00 90.00 90.00
Fractional positions:
Ba 0.500 0.000 0.000
Ba 0.000 0.000 0.500
Ba 0.000 0.500 0.000
Mg 0.000 0.000 0.000
Os 0.500 0.500 0.500

(10)
This record from Alexandria describes a relaxed structure of MgZn7O8. The functional is GGA-PBEsol.

Output
- Formation energy without anion corrections: -1588 meV per atom
- Symmetry: No. 156
- M_tot: 0.0 μB/cell

abc: 5.216 6.483 6.483
angles: 120.00 90.00 90.00
Fractional positions:
O 0.620 0.501 0.001
O 0.121 0.167 0.833
O 0.620 0.501 0.499
O 0.621 0.000 0.000
O 0.120 0.667 0.333
O 0.121 0.167 0.333
O 0.121 0.667 0.833
O 0.620 0.999 0.499
Zn 0.502 0.665 0.833
Zn 0.001 0.000 0.000
Zn 0.502 0.167 0.335
Zn 0.502 0.167 0.833
Zn 0.999 0.500 0.500
Zn 0.999 0.000 0.500
Zn 0.999 0.500 0.000
Mg 0.500 0.667 0.333

(11)
This record from Alexandria describes a relaxed structure of BeZnMo2. The functional is GGA-PBEsol.

Output
- Relative energy among the computed polymorphs: 0.039 eV/atom
- Symmetry: No. 12
- M_tot: 0.0 μB/cell
- Calculated formation energy: 0.16 eV per atom

abc: 2.589 4.792 4.792
angles: 114.89 94.08 94.08
Fractional positions:
Zn 0.500 0.500 0.500
Mo 0.000 0.500 0.000
Mo 0.000 0.000 0.500
Be 0.500 0.000 0.000

(12)
This record from Alexandria describes a relaxed structure of SiRu2W. The functional is GGA-PBEsol.

Output
- Formation energy without anion corrections: -389 meV per atom
- Symmetry: No. 123
- M_tot: 0.0 μB/cell

abc: 2.846 2.846 6.578
angles: 90.00 90.00 90.00
Fractional positions:
W 0.500 0.500 0.500
Ru 0.000 0.000 0.219
Ru 0.000 0.000 0.781
Si 0.500 0.500 0.000

(13)
This record from Alexandria describes a relaxed structure of LiScCo4. The functional is GGA-PBEsol.

Output
- Symmetry: No. 216
- M_tot: 3.9 μB/cell
- Calculated formation energy: -0.11 eV per atom

abc: 4.715 4.715 4.715
angles: 60.00 60.00 60.00
Fractional positions:
Co 0.375 0.874 0.375
Co 0.375 0.375 0.874
Co 0.874 0.375 0.375
Co 0.375 0.375 0.375
Li 0.750 0.750 0.750
Sc 0.000 0.000 0.000

(14)
This record from Alexandria describes a relaxed structure of Tl3AsSe4. The functional is GGA-PBEsol.

Output
- Formation energy without anion corrections: -228 meV per atom
- Symmetry: No. 62
- M_tot: 0.0 μB/cell

abc: 8.933 9.364 10.882
angles: 90.00 90.00 90.00
Fractional positions:
As 0.782 0.528 0.250
As 0.218 0.472 0.750
As 0.282 0.972 0.250
As 0.718 0.028 0.750
Tl 0.432 0.188 0.951
Tl 0.932 0.312 0.549
Tl 0.068 0.688 0.049
Tl 0.568 0.812 0.049
Tl 0.568 0.812 0.451
Tl 0.390 0.382 0.250
Tl 0.432 0.188 0.549
Tl 0.890 0.118 0.250
Tl 0.932 0.312 0.951
Tl 0.110 0.882 0.750
Tl 0.068 0.688 0.451
Tl 0.610 0.618 0.750
Se 0.475 0.925 0.750
Se 0.144 0.031 0.427
Se 0.818 0.779 0.250
Se 0.182 0.221 0.750
Se 0.356 0.531 0.927
Se 0.525 0.075 0.250
Se 0.025 0.425 0.250
Se 0.318 0.721 0.250
Se 0.644 0.469 0.073
Se 0.975 0.575 0.750
Se 0.856 0.969 0.573
Se 0.682 0.279 0.750
Se 0.644 0.469 0.427
Se 0.856 0.969 0.927
Se 0.144 0.031 0.073
Se 0.356 0.531 0.573

(15)
This record from Alexandria describes a relaxed structure of Te2IrPt2. The functional is GGA-PBEsol.

Output
- Formation energy without anion corrections: 412 meV per atom
- Symmetry: No. 139
- M_tot: 0.0 μB/cell

abc: 3.615 3.615 7.892
angles: 103.24 103.24 90.00
Fractional positions:
Pt 0.750 0.250 0.500
Pt 0.250 0.750 0.500
Te 0.397 0.397 0.794
Te 0.603 0.603 0.206
Ir 0.000 0.000 0.000

(16)
This record from Alexandria describes a relaxed structure of Li3ReSe. The functional is GGA-PBEsol.

Output
- Formation energy without anion corrections: 675 meV per atom
- Symmetry: No. 221
- M_tot: 4.0 μB/cell

abc: 4.655 4.655 4.655
angles: 90.00 90.00 90.00
Fractional positions:
Li 0.000 0.500 0.000
Li 0.500 0.000 0.000
Li 0.000 0.000 0.500
Se 0.000 0.000 0.000
Re 0.500 0.500 0.500

(17)
This record from Alexandria describes a relaxed structure of Mn3Al9Si. The functional is GGA-PBEsol.

Output
- Formation energy without anion corrections: -283 meV per atom
- Symmetry: No. 194
- M_tot: 0.0 μB/cell

abc: 7.420 7.420 7.584
angles: 90.00 90.00 120.00
Fractional positions:
Al 0.802 0.604 0.064
Al 0.802 0.198 0.436
Al 0.604 0.802 0.936
Al 0.458 0.542 0.250
Al 0.198 0.396 0.936
Al 0.085 0.542 0.250
Al 0.915 0.458 0.750
Al 0.542 0.458 0.750
Al 0.396 0.198 0.064
Al 0.396 0.198 0.436
Al 0.604 0.802 0.564
Al 0.802 0.604 0.436
Al 0.458 0.915 0.250
Al 0.802 0.198 0.064
Al 0.198 0.802 0.564
Al 0.542 0.085 0.750
Al 0.198 0.396 0.564
Al 0.198 0.802 0.936
Mn 0.879 0.759 0.750
Mn 0.759 0.879 0.250
Mn 0.879 0.121 0.750
Mn 0.121 0.241 0.250
Mn 0.121 0.879 0.250
Mn 0.241 0.121 0.750
Si 0.000 0.000 0.500
Si 0.000 0.000 0.000

(18)
This record from Alexandria describes a relaxed structure of ScSiTe. The functional is GGA-PBEsol.

Output
- Formation energy without anion corrections: -135 meV per atom
- Symmetry: No. 187
- M_tot: 0.0 μB/cell

abc: 3.679 4.573 4.573
angles: 120.00 90.00 90.00
Fractional positions:
Si 0.833 0.333 0.667
Sc 0.834 0.000 0.000
Te 0.333 0.667 0.333

(19)
This record from Alexandria describes a relaxed structure of MoIrPb2. The functional is GGA-PBEsol.

Output
- Relative energy among the computed polymorphs: 0.284 eV/atom
- Symmetry: No. 12
- M_tot: 0.0 μB/cell
- Calculated formation energy: 0.73 eV per atom

abc: 3.065 4.765 5.668
angles: 101.84 90.00 108.76
Fractional positions:
Pb 0.247 0.493 0.247
Pb 0.753 0.507 0.753
Mo 0.000 0.000 0.500
Ir 0.500 0.000 0.000

(20)
This record from Alexandria describes a relaxed structure of YSc3. The functional is GGA-PBEsol.

Output
- Relative energy among the computed polymorphs: 0.010 eV/atom
- Symmetry: No. 25
- M_tot: 0.0 μB/cell
- Calculated formation energy: 0.03 eV per atom

abc: 3.355 5.196 5.803
angles: 90.00 90.00 90.00
Fractional positions:
Sc 0.000 0.000 0.995
Sc 0.500 0.500 0.831
Sc 0.500 0.000 0.506
Y 0.000 0.500 0.335

(21)
This record from Alexandria describes a relaxed structure of LaTcB2. The functional is GGA-PBEsol.

Output
- Symmetry: No. 141
- M_tot: 0.0 μB/cell
- Calculated formation energy: 0.05 eV per atom

abc: 4.464 4.464 7.524
angles: 107.26 107.26 90.00
Fractional positions:
La 0.250 0.750 0.500
La 0.000 0.000 0.000
Tc 0.500 0.500 0.000
Tc 0.750 0.250 0.500
B 0.625 0.375 0.750
B 0.125 0.375 0.750
B 0.625 0.875 0.250
B 0.625 0.375 0.250

(22)
This record from Alexandria describes a relaxed structure of MgRh. The functional is GGA-PBEsol.

Output
- Symmetry: No. 221
- M_tot: 0.0 μB/cell
- Calculated formation energy: -0.38 eV per atom

abc: 3.084 3.084 3.084
angles: 90.00 90.00 90.00
Fractional positions:
Rh 0.500 0.500 0.500
Mg 0.000 0.000 0.000

(23)
This record from Alexandria describes a relaxed structure of Ti3PtO. The functional is GGA-PBEsol.

Output
- Formation energy without anion corrections: -1551 meV per atom
- Symmetry: No. 221
- M_tot: 0.3 μB/cell

abc: 4.046 4.046 4.046
angles: 90.00 90.00 90.00
Fractional positions:
Ti 0.000 0.000 0.500
Ti 0.000 0.500 0.000
Ti 0.500 0.000 0.000
O 0.000 0.000 0.000
Pt 0.500 0.500 0.500

(24)
This record from Alexandria describes a relaxed structure of CsAu3S. The functional is GGA-PBEsol.

Output
- Formation energy without anion corrections: 117 meV per atom
- Symmetry: No. 221
- M_tot: 0.0 μB/cell

abc: 5.001 5.001 5.001
angles: 90.00 90.00 90.00
Fractional positions:
Au 0.500 0.000 0.000
Au 0.000 0.500 0.000
Au 0.000 0.000 0.500
S 0.000 0.000 0.000
Cs 0.500 0.500 0.500

(25)
This record from Alexandria describes a relaxed structure of BiAsPdW2. The functional is GGA-PBEsol.

Output
- Symmetry: No. 123
- M_tot: 0.0 μB/cell
- Calculated formation energy: 2.99 eV per atom

abc: 5.002 5.002 5.171
angles: 90.00 90.00 90.00
Fractional positions:
W 0.500 0.000 0.000
W 0.000 0.500 0.000
Bi 0.000 0.000 0.000
Pd 0.500 0.500 0.500
As 0.000 0.000 0.500

(26)
This record from Alexandria describes a relaxed structure of GeNO2F. The functional is GGA-PBEsol.

Output
- Formation energy without anion corrections: 80 meV per atom
- Symmetry: No. 123
- M_tot: 2.0 μB/cell

abc: 3.645 3.645 3.833
angles: 90.00 90.00 90.00
Fractional positions:
Ge 0.000 0.000 0.000
N 0.500 0.500 0.500
O 0.500 0.000 0.000
O 0.000 0.500 0.000
F 0.000 0.000 0.500

Number 1: E -0.1723 Ry per atom. Number 2: E -0.4655 Ry per atom. Number 3: E -0.3631 Ry per atom. Number 4: E -0.4475 Ry per atom. Number 5: E -0.2876 Ry per atom. Number 6: E -0.2119 Ry per atom. Number 7: E -0.1199 Ry per atom. Number 8: E -0.3026 Ry per atom. Number 9: E -0.1852 Ry per atom. Number 10: E -0.3684 Ry per atom. Number 11: E -0.5230 Ry per atom. Number 12: E -0.7618 Ry per atom. Number 13: E -0.4922 Ry per atom. Number 14: E -0.2776 Ry per atom. Number 15: E -0.4225 Ry per atom. Number 16: E -0.2897 Ry per atom. Number 17: E -0.4271 Ry per atom. Number 18: E -0.3989 Ry per atom. Number 19: E -0.4898 Ry per atom. Number 20: E -0.4873 Ry per atom. Number 21: E -0.5597 Ry per atom. Number 22: E -0.3900 Ry per atom. Number 23: E -0.6606 Ry per atom. Number 24: E -0.2427 Ry per atom. Number 25: E -0.4119 Ry per atom. Number 26: E -0.3747 Ry per atom.